# 1
Compound: Pm2PPt
Source: Alexandria
Functional: PBE-GGA
Structure: relaxed

Properties
For the calculated total energy, the calculation gives -6.223 eV per atom.

a b c (Å): 7.158 7.158 7.158
angles (deg): 90.00 90.00 90.00
Space group Fm-3m (No. 225)
Asymmetric unit:
Pm1 0.250 0.250 0.250 x8
P1 0.000 0.000 0.000 x4
Pt1 0.000 0.000 0.500 x4

=====

# 2
Compound: Nd3UPa2N6
Source: Alexandria
Functional: PBE-GGA
Structure: relaxed

Properties
As for the formation energy from raw total energies: -146.17 kJ/mol of atoms. For the calculated total energy, the calculation gives -9.393 eV per atom.

a b c (Å): 6.160 10.671 6.159
angles (deg): 90.00 109.49 90.00
Space group C2/m (No. 12)
Asymmetric unit:
Nd1 0.000 0.000 0.000 x2
Nd2 0.000 0.333 0.000 x4
U1 0.000 0.500 0.500 x2
Pa1 0.000 0.167 0.500 x4
N1 0.232 0.337 0.708 x8
N2 0.244 0.000 0.709 x4